1.
First-principles (PBE-GGA) data for a relaxed Ti3Nb2Mo2 crystal, as listed in Alexandria via LeMat-Bulk.

Unit cell a=3.2256 b=5.3363 c=7.3167 alpha=80.00 beta=90.13 gamma=72.13
Atoms (fractional coordinates):
Ti: 0.0000 0.0000 0.0000
Ti: 0.4173 0.1638 0.2888
Ti: 0.5827 0.8362 0.7112
Nb: 0.8545 0.2902 0.5869
Nb: 0.1455 0.7098 0.4131
Mo: 0.2844 0.4310 0.8668
Mo: 0.7156 0.5690 0.1332

Summary:
- Space group: P-1
- Energy above the most stable polymorph in this dataset: 0.00 kJ per mole of atoms
- Crystal system: triclinic
- Total magnetic moment: 0.000 μB/f.u.

2.
First-principles (PBE-GGA) data for a relaxed TiNb2Mo8 crystal, as listed in Alexandria via LeMat-Bulk.

Unit cell a=5.2679 b=8.2008 c=5.4732 alpha=109.11 beta=99.62 gamma=115.28
Atoms (fractional coordinates):
Ti: 0.5000 0.0000 0.0000
Nb: 0.0256 0.6824 0.4259
Nb: 0.9744 0.3176 0.5741
Mo: 0.9868 0.0032 0.7512
Mo: 0.0016 0.6670 0.9145
Mo: 0.5097 0.6664 0.6683
Mo: 0.5014 0.3311 0.8376
Mo: 0.4986 0.6689 0.1624
Mo: 0.4903 0.3336 0.3317
Mo: 0.9984 0.3330 0.0855
Mo: 0.0132 0.9968 0.2488

Summary:
- Space group: P-1
- Crystal system: triclinic
- Total magnetic moment: 0.000 μB/f.u.

3.
First-principles (PBE-GGA) data for a relaxed TiNbMo3 crystal, as listed in Alexandria via LeMat-Bulk.

Unit cell a=7.1525 b=7.7105 c=6.3188 alpha=90.00 beta=90.00 gamma=90.00
Atoms (fractional coordinates):
Ti: 0.0000 0.5000 0.0000
Ti: 0.5000 0.0000 0.5000
Ti: 0.5000 0.0000 0.0000
Ti: 0.0000 0.5000 0.5000
Nb: 0.3047 0.6070 0.7500
Nb: 0.1953 0.1070 0.2500
Nb: 0.6953 0.3930 0.2500
Nb: 0.8047 0.8930 0.7500
Mo: 0.8668 0.1465 0.0268
Mo: 0.6332 0.6465 0.5268
Mo: 0.6332 0.6465 0.9732
Mo: 0.1332 0.8535 0.5268
Mo: 0.1332 0.8535 0.9732
Mo: 0.3668 0.3535 0.4732
Mo: 0.3668 0.3535 0.0268
Mo: 0.8668 0.1465 0.4732
Mo: 0.6358 0.2947 0.7500
Mo: 0.8642 0.7947 0.2500
Mo: 0.3642 0.7053 0.2500
Mo: 0.1358 0.2053 0.7500

Summary:
- Space group: Pnma
- Energy above the most stable polymorph in this dataset: 9.91 kJ per mole of atoms
- Crystal system: orthorhombic
- Total magnetic moment: 0.000 μB/f.u.

4.
First-principles (PBE-GGA) data for a relaxed Ti3NbMo crystal, as listed in Alexandria via LeMat-Bulk.

Unit cell a=3.1955 b=8.3108 c=6.6243 alpha=78.96 beta=90.00 gamma=101.08
Atoms (fractional coordinates):
Ti: 0.9993 0.9985 0.2813
Ti: 0.0007 0.0015 0.7187
Ti: 0.4089 0.8179 0.0442
Ti: 0.5911 0.1821 0.9558
Ti: 0.1926 0.3853 0.6409
Ti: 0.8074 0.6147 0.3591
Nb: 0.8005 0.6010 0.8471
Nb: 0.1995 0.3990 0.1529
Mo: 0.6044 0.2088 0.4386
Mo: 0.3956 0.7912 0.5614

Summary:
- Space group: C2/m
- Energy above the most stable polymorph in this dataset: 0.00 kJ per mole of atoms
- Crystal system: monoclinic
- Total magnetic moment: 0.000 μB/f.u.

5.
First-principles (PBE-GGA) data for a relaxed Ti2Nb2Mo3 crystal, as listed in Alexandria via LeMat-Bulk.

Unit cell a=4.4344 b=6.9191 c=4.4984 alpha=75.84 beta=89.96 gamma=108.54
Atoms (fractional coordinates):
Ti: 0.8783 0.7573 0.6325
Ti: 0.1217 0.2427 0.3675
Nb: 0.6259 0.2510 0.8671
Nb: 0.3741 0.7490 0.1329
Mo: 0.0000 0.0000 0.0000
Mo: 0.7527 0.5061 0.2482
Mo: 0.2473 0.4939 0.7518

Summary:
- Space group: P-1
- Energy above the most stable polymorph in this dataset: 31.60 kJ per mole of atoms
- Crystal system: triclinic
- Total magnetic moment: 0.000 μB/f.u.

6.
First-principles (PBE-GGA) data for a relaxed Ti2NbMo crystal, as listed in Alexandria via LeMat-Bulk.

Unit cell a=3.1934 b=6.4985 c=6.4985 alpha=92.97 beta=90.00 gamma=90.00
Atoms (fractional coordinates):
Ti: 0.7500 0.1383 0.3906
Ti: 0.2500 0.8617 0.6094
Ti: 0.7500 0.6094 0.8617
Ti: 0.2500 0.3906 0.1383
Nb: 0.7500 0.1265 0.8735
Nb: 0.2500 0.8735 0.1265
Mo: 0.7500 0.6230 0.3770
Mo: 0.2500 0.3770 0.6230

Summary:
- Space group: Cmcm
- Energy above the most stable polymorph in this dataset: 0.00 kJ per mole of atoms
- Crystal system: orthorhombic
- Total magnetic moment: 0.000 μB/f.u.

7.
First-principles (PBE-GGA) data for a relaxed Ti2NbMo crystal, as listed in Alexandria via LeMat-Bulk.

Unit cell a=4.5462 b=4.5462 c=4.5462 alpha=60.00 beta=60.00 gamma=60.00
Atoms (fractional coordinates):
Mo: 0.5000 0.5000 0.5000
Nb: 0.0000 0.0000 0.0000
Ti: 0.2500 0.2500 0.2500
Ti: 0.7500 0.7500 0.7500

Summary:
- Space group: Fm-3m
- Energy above the most stable polymorph in this dataset: 6.95 kJ per mole of atoms
- Crystal system: cubic
- Total magnetic moment: 0.000 μB/f.u.

8.
First-principles (PBE-GGA) data for a relaxed Ti2Nb3Mo2 crystal, as listed in Alexandria via LeMat-Bulk.

Unit cell a=4.6875 b=5.2945 c=7.7993 alpha=43.33 beta=72.51 gamma=63.73
Atoms (fractional coordinates):
Ti: 0.0661 0.5978 0.2701
Ti: 0.9339 0.4022 0.7299
Nb: 0.5000 0.0000 0.0000
Nb: 0.3555 0.8571 0.4319
Nb: 0.6445 0.1429 0.5681
Mo: 0.2183 0.7071 0.8563
Mo: 0.7817 0.2929 0.1437

Summary:
- Space group: C2/m
- Energy above the most stable polymorph in this dataset: 0.75 kJ per mole of atoms
- Crystal system: monoclinic
- Total magnetic moment: 0.000 μB/f.u.

no.,ΔH_f (0 K) (eV per formula unit)
1,-0.497
2,1.661
3,1.793
4,-0.244
5,1.435
6,-0.212
7,0.076
8,-0.374